Density functional theory data (PBE-GGA) for RbMn2I after structural relaxation. Values from VASP.

Raw formation energy (eV/atom): 0.655
Crystal system: tetragonal
Volume (Å³ per atom): 35.67
Symmetry: I4_1/amd

The structure in Quantum ESPRESSO input format:
```
&SYSTEM
  ibrav = 0, nat = 8, ntyp = 3
/
ATOMIC_SPECIES
Rb 85.47 Rb.upf
Mn 54.94 Mn.upf
I 126.90 I.upf
ATOMIC_POSITIONS crystal
Rb 0.375 0.625 0.750
Rb 0.625 0.375 0.250
Mn 0.000 0.000 0.000
Mn 0.000 0.000 0.500
Mn 0.000 0.500 0.000
Mn 0.500 0.000 0.500
I 0.125 0.875 0.250
I 0.875 0.125 0.750
CELL_PARAMETERS angstrom
-2.585 2.585 10.679
2.585 -2.585 10.679
2.585 2.585 -10.679
```

Density functional theory data (PBE-GGA) for RbMn4I2 after structural relaxation. Values from VASP.

Raw formation energy (eV/atom): 1.503
Crystal system: tetragonal
Volume (Å³ per atom): 40.49
Symmetry: I4/mmm

The structure in Quantum ESPRESSO input format:
```
&SYSTEM
  ibrav = 0, nat = 7, ntyp = 3
/
ATOMIC_SPECIES
Rb 85.47 Rb.upf
Mn 54.94 Mn.upf
I 126.90 I.upf
ATOMIC_POSITIONS crystal
Rb 0.000 0.000 0.000
Mn 0.000 0.500 0.500
Mn 0.234 0.234 0.000
Mn 0.500 0.000 0.500
Mn 0.766 0.766 0.000
I 0.393 0.393 0.000
I 0.607 0.607 0.000
CELL_PARAMETERS angstrom
-2.872 2.872 8.592
2.872 -2.872 8.592
2.872 2.872 -8.592
```

Density functional theory data (PBE-GGA) for Rb6MnI8 after structural relaxation. Values from VASP.

Raw formation energy (eV/atom): -1.245
Crystal system: trigonal
Volume (Å³ per atom): 47.81
Symmetry: R-3

The structure in Quantum ESPRESSO input format:
```
&SYSTEM
  ibrav = 0, nat = 15, ntyp = 3
/
ATOMIC_SPECIES
Rb 85.47 Rb.upf
Mn 54.94 Mn.upf
I 126.90 I.upf
ATOMIC_POSITIONS crystal
Rb 0.018 0.442 0.800
Rb 0.200 0.982 0.558
Rb 0.442 0.800 0.018
Rb 0.558 0.200 0.982
Rb 0.800 0.018 0.442
Rb 0.982 0.558 0.200
Mn 0.500 0.500 0.500
I 0.154 0.154 0.154
I 0.200 0.650 0.408
I 0.350 0.592 0.800
I 0.408 0.200 0.650
I 0.592 0.800 0.350
I 0.650 0.408 0.200
I 0.800 0.350 0.592
I 0.846 0.846 0.846
CELL_PARAMETERS angstrom
5.411 3.124 7.069
-5.411 3.124 7.069
0.000 -6.249 7.069
```

Density functional theory data (PBE-GGA) for RbMnI4 after structural relaxation. Values from VASP.

Raw formation energy (eV/atom): -0.696
Crystal system: monoclinic
Volume (Å³ per atom): 50.52
Symmetry: P2_1/c

The structure in Quantum ESPRESSO input format:
```
&SYSTEM
  ibrav = 0, nat = 24, ntyp = 3
/
ATOMIC_SPECIES
Rb 85.47 Rb.upf
Mn 54.94 Mn.upf
I 126.90 I.upf
ATOMIC_POSITIONS crystal
Rb 0.223 0.191 0.327
Rb 0.223 0.309 0.827
Rb 0.777 0.691 0.173
Rb 0.777 0.809 0.673
Mn 0.281 0.656 0.175
Mn 0.281 0.844 0.675
Mn 0.719 0.156 0.325
Mn 0.719 0.344 0.825
I 0.055 0.682 0.573
I 0.055 0.818 0.073
I 0.171 0.532 0.283
I 0.171 0.968 0.783
I 0.323 0.617 0.000
I 0.323 0.883 0.500
I 0.418 0.160 0.150
I 0.418 0.340 0.650
I 0.582 0.660 0.350
I 0.582 0.840 0.850
I 0.677 0.117 0.500
I 0.677 0.383 0.000
I 0.829 0.032 0.217
I 0.829 0.468 0.717
I 0.945 0.182 0.927
I 0.945 0.318 0.427
CELL_PARAMETERS angstrom
9.821 0.000 0.000
0.000 11.102 0.000
-7.069 0.000 11.120
```

Density functional theory data (PBE-GGA) for RbMnI2 after structural relaxation. Values from VASP.

Raw formation energy (eV/atom): -0.484
Crystal system: tetragonal
Volume (Å³ per atom): 39.67
Symmetry: I-42d

The structure in Quantum ESPRESSO input format:
```
&SYSTEM
  ibrav = 0, nat = 8, ntyp = 3
/
ATOMIC_SPECIES
Rb 85.47 Rb.upf
Mn 54.94 Mn.upf
I 126.90 I.upf
ATOMIC_POSITIONS crystal
Rb 0.000 0.000 0.000
Rb 0.750 0.250 0.500
Mn 0.250 0.750 0.500
Mn 0.500 0.500 0.000
I 0.219 0.625 0.094
I 0.375 0.469 0.594
I 0.531 0.125 0.906
I 0.875 0.781 0.406
CELL_PARAMETERS angstrom
-4.327 4.327 4.237
4.327 -4.327 4.237
4.327 4.327 -4.237
```

Density functional theory data (PBE-GGA) for Rb6Mn3I14 after structural relaxation. Values from VASP.

Raw formation energy (eV/atom): -0.959
Crystal system: trigonal
Volume (Å³ per atom): 49.78
Symmetry: P3

The structure in Quantum ESPRESSO input format:
```
&SYSTEM
  ibrav = 0, nat = 23, ntyp = 3
/
ATOMIC_SPECIES
Rb 85.47 Rb.upf
Mn 54.94 Mn.upf
I 126.90 I.upf
ATOMIC_POSITIONS crystal
Rb 0.050 0.578 0.000
Rb 0.280 0.084 0.465
Rb 0.422 0.472 0.000
Rb 0.528 0.950 0.000
Rb 0.804 0.720 0.465
Rb 0.916 0.196 0.465
Mn 0.000 0.000 0.889
Mn 0.333 0.667 0.414
Mn 0.667 0.333 0.244
I 0.000 0.000 0.234
I 0.062 0.843 0.768
I 0.157 0.219 0.768
I 0.189 0.447 0.286
I 0.257 0.811 0.286
I 0.333 0.667 0.758
I 0.471 0.209 0.043
I 0.539 0.401 0.441
I 0.553 0.743 0.286
I 0.599 0.139 0.441
I 0.738 0.529 0.043
I 0.781 0.938 0.768
I 0.791 0.262 0.043
I 0.861 0.461 0.441
CELL_PARAMETERS angstrom
12.997 0.000 0.000
-6.499 11.256 0.000
0.000 0.000 7.826
```

Density functional theory data (PBE-GGA) for Rb2MnI4 after structural relaxation. Values from VASP.

Raw formation energy (eV/atom): -1.072
Crystal system: monoclinic
Volume (Å³ per atom): 48.00
Symmetry: P2_1/m

The structure in Quantum ESPRESSO input format:
```
&SYSTEM
  ibrav = 0, nat = 14, ntyp = 3
/
ATOMIC_SPECIES
Rb 85.47 Rb.upf
Mn 54.94 Mn.upf
I 126.90 I.upf
ATOMIC_POSITIONS crystal
Rb 0.217 0.250 0.050
Rb 0.271 0.250 0.571
Rb 0.729 0.750 0.429
Rb 0.783 0.750 0.950
Mn 0.217 0.750 0.797
Mn 0.783 0.250 0.203
I 0.000 0.002 0.737
I 0.000 0.498 0.737
I 0.000 0.502 0.263
I 0.000 0.998 0.263
I 0.392 0.750 0.066
I 0.414 0.750 0.632
I 0.586 0.250 0.368
I 0.608 0.250 0.934
CELL_PARAMETERS angstrom
8.209 0.000 0.000
0.000 8.366 0.000
-3.262 0.000 9.784
```

Density functional theory data (PBE-GGA) for Rb3MnI5 after structural relaxation. Values from VASP.

Raw formation energy (eV/atom): -1.151
Crystal system: orthorhombic
Volume (Å³ per atom): 46.47
Symmetry: Ibam

The structure in Quantum ESPRESSO input format:
```
&SYSTEM
  ibrav = 0, nat = 18, ntyp = 3
/
ATOMIC_SPECIES
Rb 85.47 Rb.upf
Mn 54.94 Mn.upf
I 126.90 I.upf
ATOMIC_POSITIONS crystal
Rb 0.158 0.657 0.815
Rb 0.250 0.250 0.000
Rb 0.342 0.157 0.499
Rb 0.658 0.843 0.501
Rb 0.750 0.750 0.000
Rb 0.842 0.343 0.185
Mn 0.250 0.750 0.500
Mn 0.750 0.250 0.500
I 0.000 0.000 0.000
I 0.002 0.798 0.501
I 0.203 0.702 0.204
I 0.297 0.501 0.499
I 0.498 0.999 0.796
I 0.500 0.500 0.000
I 0.502 0.001 0.204
I 0.703 0.499 0.501
I 0.797 0.298 0.796
I 0.998 0.202 0.499
CELL_PARAMETERS angstrom
-5.058 5.062 8.167
5.058 -5.062 8.167
5.058 5.062 -8.167
```

Density functional theory data (PBE-GGA) for RbMn3I9 after structural relaxation. Values from VASP.

Raw formation energy (eV/atom): -0.483
Crystal system: monoclinic
Volume (Å³ per atom): 52.48
Symmetry: Cc

The structure in Quantum ESPRESSO input format:
```
&SYSTEM
  ibrav = 0, nat = 26, ntyp = 3
/
ATOMIC_SPECIES
Rb 85.47 Rb.upf
Mn 54.94 Mn.upf
I 126.90 I.upf
ATOMIC_POSITIONS crystal
Rb 0.084 0.916 0.500
Rb 0.916 0.084 0.000
Mn 0.313 0.997 0.265
Mn 0.514 0.642 0.408
Mn 0.642 0.514 0.908
Mn 0.704 0.891 0.193
Mn 0.891 0.704 0.693
Mn 0.997 0.313 0.765
I 0.046 0.862 0.750
I 0.098 0.497 0.764
I 0.113 0.231 0.298
I 0.231 0.113 0.798
I 0.240 0.806 0.088
I 0.385 0.585 0.490
I 0.418 0.926 0.450
I 0.459 0.479 0.214
I 0.479 0.459 0.714
I 0.497 0.098 0.264
I 0.572 0.798 0.980
I 0.585 0.385 0.990
I 0.684 0.866 0.768
I 0.798 0.572 0.480
I 0.806 0.240 0.588
I 0.862 0.046 0.250
I 0.866 0.684 0.268
I 0.926 0.418 0.950
CELL_PARAMETERS angstrom
9.325 -5.917 0.000
9.325 5.917 0.000
-7.411 0.000 12.365
```

Density functional theory data (PBE-GGA) for Rb2MnI after structural relaxation. Values from VASP.

Raw formation energy (eV/atom): 0.075
Crystal system: cubic
Volume (Å³ per atom): 47.27
Symmetry: Fm-3m

The structure in Quantum ESPRESSO input format:
```
&SYSTEM
  ibrav = 0, nat = 4, ntyp = 3
/
ATOMIC_SPECIES
Rb 85.47 Rb.upf
Mn 54.94 Mn.upf
I 126.90 I.upf
ATOMIC_POSITIONS crystal
Rb 0.250 0.250 0.250
Rb 0.750 0.750 0.750
Mn 0.000 0.000 0.000
I 0.500 0.500 0.500
CELL_PARAMETERS angstrom
0.000 4.555 4.555
4.555 0.000 4.555
4.555 4.555 0.000
```

- Look up the raw formation energy of the third one.
  -1.245 eV/atom